# 1
DFT (PBEsol) results for a geometry-optimized TlPtPb2 structure.

Summary:
**Excess energy over the best structure of this formula in the dataset**: 0.30 eV/f.u.
**DOS(E_F)**: 2.023 states/eV/f.u.
**Energy of formation**: 0.07 eV per formula unit

Lattice parameters (Å, degrees): 3.4288 4.6307 6.9786 109.38 104.22 90.00
Closest atoms and distances in Å follow each position.
Positions (direct):
Pb 0.8150 0.8150 0.6301  2 Pt 2.91
Pb 0.1850 0.1850 0.3699  2 Pt 2.91
Pt 0.5000 0.0000 0.0000  4 Tl 2.88, 4 Pb 2.91
Tl 0.0000 0.5000 0.0000  4 Pt 2.88

# 2
DFT (PBEsol) results for a geometry-optimized TlPtPb2 structure.

Summary:
**Excess energy over the best structure of this formula in the dataset**: 0.31 eV/f.u.
**DOS(E_F)**: 2.412 states/eV/f.u.
**Energy of formation**: 0.08 eV per formula unit

Lattice parameters (Å, degrees): 3.4037 3.4037 8.3268 90.00 90.00 89.96
Closest atoms and distances in Å follow each position.
Positions (direct):
Pb 0.0000 0.0000 0.0128  4 Tl 3.37, 8 Pb 3.40-3.57
Pb 0.5000 0.5000 0.6958  4 Pt 2.93
Pt 0.0000 0.0000 0.4953  4 Tl 2.92, 4 Pb 2.93
Tl 0.5000 0.5000 0.2962  4 Pt 2.92

# 3
DFT (PBEsol) results for a geometry-optimized TlPtPb2 structure.

Summary:
**Excess energy over the best structure of this formula in the dataset**: 0.07 eV/f.u.
**DOS(E_F)**: 1.747 states/eV/f.u.
**Energy of formation**: -0.17 eV per formula unit

Lattice parameters (Å, degrees): 3.8916 3.9010 8.3970 103.00 90.00 119.92
Closest atoms and distances in Å follow each position.
Positions (direct):
Pb 0.7317 0.4633 0.6986  3 Pt 2.76-2.77
Pb 0.2683 0.5367 0.3014  3 Pt 2.76-2.77
Tl 0.5000 0.0000 0.0000  6 Pb 3.30-3.33
Pt 0.0000 0.0000 0.5000  6 Pb 2.76-2.77

# 4
DFT (PBEsol) results for a geometry-optimized PtPb2W structure.

Summary:
**DOS(E_F)**: 5.295 states/eV/f.u.
**Energy of formation**: 3.80 eV per formula unit

Lattice parameters (Å, degrees): 4.8834 4.8834 4.8834 60.00 60.00 60.00
Closest atoms and distances in Å follow each position.
Positions (direct):
Pb 0.0000 0.0000 0.0000  4 Pb 2.99, 4 W 2.99
Pb 0.2500 0.2500 0.2500  4 Pt 2.99, 4 Pb 2.99
Pt 0.5000 0.5000 0.5000  4 W 2.99, 4 Pb 2.99
W 0.7500 0.7500 0.7500  4 Pb 2.99, 4 Pt 2.99

Spin magnetization per entry: 0.0 0.0 0.0 1.8 μB per cell